Material: Dy7ZnRu4
Method: DFT, PBE
State: relaxed

a b c (Å): 13.805 5.308 9.713
angles (deg): 90.00 127.14 90.00
Space group C2/m (No. 12)
Symmetry-distinct sites (fractional):
1 Dy 0.000 0.000 0.000
2 Dy 0.075 0.500 0.355
3 Dy 0.174 0.000 0.624
4 Dy 0.215 0.500 0.874
5 Zn 0.000 0.500 0.000
6 Ru 0.066 0.000 0.779
7 Ru 0.202 0.000 0.352

E_form, eV per formula unit: -1.52
Calculated density, g cm⁻³: 9.41
Total moment, μB per cell: 0.000
Electronic total energy, eV/atom: -6.010

=====

Material: DyZnRu
Method: DFT, PBE
State: relaxed

a b c (Å): 3.420 3.420 9.486
angles (deg): 90.00 90.00 90.00
Space group I4mm (No. 107)
Symmetry-distinct sites (fractional):
1 Dy 0.000 0.000 0.000
2 Zn 0.000 0.000 0.300
3 Ru 0.000 0.000 0.681

E_form, eV per formula unit: -0.80
Calculated density, g cm⁻³: 9.85
Total moment, μB per cell: 0.000
Electronic total energy, eV/atom: -5.317

=====

Material: Dy4ZnRu
Method: DFT, PBE
State: relaxed

a b c (Å): 13.406 13.406 13.406
angles (deg): 90.00 90.00 90.00
Space group F-43m (No. 216)
Symmetry-distinct sites (fractional):
1 Dy 0.000 0.000 0.188
2 Dy 0.058 0.250 0.750
3 Dy 0.100 0.100 0.400
4 Zn 0.173 0.173 0.173
5 Ru 0.111 0.111 0.611

Distance to the lowest polymorph of the same formula, eV per atom: 0.000
E_form, eV per formula unit: -1.83
Calculated density, g cm⁻³: 9.00
Total moment, μB per cell: 0.000
Electronic total energy, eV/atom: -5.132

=====

Material: Dy3Zn9Ru2
Method: DFT, PBE
State: relaxed

a b c (Å): 4.337 9.143 12.521
angles (deg): 90.00 90.00 90.00
Space group Immm (No. 71)
Symmetry-distinct sites (fractional):
1 Dy 0.000 0.000 0.000
2 Dy 0.000 0.000 0.309
3 Zn 0.000 0.278 0.125
4 Zn 0.000 0.360 0.340
5 Zn 0.000 0.500 0.000
6 Ru 0.000 0.180 0.500

E_form, eV per formula unit: -4.30
Calculated density, g cm⁻³: 8.55
Total moment, μB per cell: 0.000
Electronic total energy, eV/atom: -3.437

=====

Material: Dy5ZnRu2
Method: DFT, PBE
State: relaxed

a b c (Å): 7.730 7.730 13.020
angles (deg): 90.00 90.00 90.00
Space group I4/mcm (No. 140)
Symmetry-distinct sites (fractional):
1 Dy 0.000 0.000 0.000
2 Dy 0.158 0.342 0.137
3 Zn 0.000 0.000 0.250
4 Ru 0.142 0.358 0.500

E_form, eV per formula unit: -2.80
Calculated density, g cm⁻³: 9.22
Total moment, μB per cell: 0.000
Electronic total energy, eV/atom: -5.704

=====

Material: Dy4ZnRu3
Method: DFT, PBE
State: relaxed

a b c (Å): 4.843 4.843 6.934
angles (deg): 90.00 90.00 90.00
Space group P4/mmm (No. 123)
Symmetry-distinct sites (fractional):
1 Dy 0.000 0.500 0.241
2 Zn 0.000 0.000 0.500
3 Ru 0.000 0.000 0.000
4 Ru 0.500 0.500 0.000
5 Ru 0.500 0.500 0.500

E_form, eV per formula unit: -3.04
Calculated density, g cm⁻³: 10.40
Total moment, μB per cell: 0.000
Electronic total energy, eV/atom: -6.319

=====

Material: Dy2ZnRu
Method: DFT, PBE
State: relaxed

a b c (Å): 3.445 3.445 7.228
angles (deg): 90.00 90.00 90.00
Space group P4/mmm (No. 123)
Symmetry-distinct sites (fractional):
1 Dy 0.000 0.000 0.230
2 Zn 0.500 0.500 0.500
3 Ru 0.500 0.500 0.000

Distance to the lowest polymorph of the same formula, eV per atom: 0.000
E_form, eV per formula unit: -1.59
Calculated density, g cm⁻³: 9.51
Total moment, μB per cell: 0.000
Electronic total energy, eV/atom: -5.337

=====

Material: DyZnRu
Method: DFT, PBE
State: relaxed

a b c (Å): 4.3677 4.3677 3.5150
angles (deg): 90.00 90.00 120.00
Space group P-6m2 (No. 187)
Symmetry-distinct sites (fractional):
1 Dy 0.0000 0.0000 0.0000
2 Zn 0.3333 0.6667 0.5000
3 Ru 0.6667 0.3333 0.5000

E_form, eV per formula unit: -0.81
Calculated density, g cm⁻³: 9.41
Total moment, μB per cell: 0.000
Electronic total energy, eV/atom: -5.322

=====

Material: Dy8ZnRu2
Method: DFT, PBE
State: relaxed

a b c (Å): 8.650 12.886 5.511
angles (deg): 90.00 104.32 90.00
Space group Cm (No. 8)
Symmetry-distinct sites (fractional):
1 Dy 0.000 0.000 0.000
2 Dy 0.076 0.369 0.781
3 Dy 0.179 0.131 0.611
4 Dy 0.256 0.500 0.392
5 Dy 0.377 0.242 0.196
6 Zn 0.378 0.000 0.190
7 Ru 0.378 0.311 0.696

E_form, eV per formula unit: -1.91
Calculated density, g cm⁻³: 8.75
Total moment, μB per cell: 0.000
Electronic total energy, eV/atom: -5.323

=====

Material: DyZn20Ru2
Method: DFT, PBE
State: relaxed

a b c (Å): 14.242 14.242 14.242
angles (deg): 90.00 90.00 90.00
Space group Fd-3m (No. 227, origin choice 2)
Symmetry-distinct sites (fractional):
1 Dy 0.125 0.125 0.125
2 Zn 0.000 0.000 0.000
3 Zn 0.012 0.375 0.875
4 Zn 0.059 0.059 0.325
5 Ru 0.000 0.000 0.500

E_form, eV per formula unit: -4.21
Calculated density, g cm⁻³: 7.69
Total moment, μB per cell: 0.000
Electronic total energy, eV/atom: -2.298

=====

Material: Dy2Zn5Ru5
Method: DFT, PBE
State: relaxed

a b c (Å): 4.207 5.184 9.284
angles (deg): 90.00 90.00 90.00
Space group Pmmm (No. 47)
Symmetry-distinct sites (fractional):
1 Dy 0.000 0.000 0.000
2 Dy 0.000 0.500 0.500
3 Zn 0.000 0.000 0.331
4 Zn 0.000 0.500 0.166
5 Zn 0.500 0.000 0.500
6 Ru 0.500 0.246 0.250
7 Ru 0.500 0.500 0.000

E_form, eV per formula unit: -1.95
Calculated density, g cm⁻³: 9.49
Total moment, μB per cell: 0.001
Electronic total energy, eV/atom: -5.325

=====

Material: Dy2Zn16Ru
Method: DFT, PBE
State: relaxed

a b c (Å): 8.9732 8.9732 13.0920
angles (deg): 90.00 90.00 120.00
Space group R3m (No. 160, hexagonal axes)
Symmetry-distinct sites (fractional):
1 Dy 0.0000 0.0000 0.0000
2 Dy 0.0000 0.0000 0.3376
3 Zn 0.0000 0.0000 0.5743
4 Zn 0.0004 0.2881 0.6795
5 Zn 0.0140 0.5070 0.8264
6 Zn 0.1677 0.3355 0.8624
7 Zn 0.1702 0.3403 0.5116
8 Ru 0.0000 0.0000 0.7754

E_form, eV per formula unit: -4.15
Calculated density, g cm⁻³: 8.04
Total moment, μB per cell: 0.000
Electronic total energy, eV/atom: -2.264